[1]
The following is a GGA-PBEsol calculation of a relaxed structure of Y2MoSe3O12, from Alexandria via LeMat-Bulk.

abc: 6.4718 7.0321 10.6769
angles: 84.98 73.18 86.88
Last column: nearest neighbours and their distance in Å.
Positions (direct):
O (0.0998, 0.4982, 0.1456)  1 Se 1.69
O (0.9159, 0.3974, 0.6175)  1 Se 1.78
O (0.8261, 0.1733, 0.1800)  1 Se 1.78
O (0.3598, 0.6618, 0.5403)  1 Se 1.74
O (0.0841, 0.6026, 0.3825)  1 Se 1.78
O (0.5748, 0.6471, 0.7313)  1 Se 1.75
O (0.9545, 0.8103, 0.6062)  1 Se 1.75
O (0.2168, 0.1653, 0.9545)  1 Mo 1.74
O (0.9398, 0.1241, 0.8062)  1 Se 1.77
O (0.2827, 0.0425, 0.5833)  1 Se 1.74
O (0.7173, 0.9575, 0.4167)  1 Se 1.74
O (0.6952, 0.6701, 0.2976)  1 Mo 1.76
O (0.4465, 0.7280, 0.9655)  1 Se 1.70
O (0.1739, 0.8267, 0.8200)  1 Se 1.78
O (0.6402, 0.3382, 0.4597)  1 Se 1.74
O (0.9002, 0.5018, 0.8544)  1 Se 1.69
O (0.7832, 0.8347, 0.0455)  1 Mo 1.74
O (0.5480, 0.0235, 0.7646)  1 Mo 1.77
O (0.5535, 0.2720, 0.0345)  1 Se 1.70
O (0.0602, 0.8759, 0.1938)  1 Se 1.77
O (0.3048, 0.3299, 0.7024)  1 Mo 1.76
O (0.0455, 0.1897, 0.3938)  1 Se 1.75
O (0.4520, 0.9765, 0.2354)  1 Mo 1.77
O (0.4252, 0.3529, 0.2687)  1 Se 1.75
Se (0.2088, 0.6617, 0.2132)  3 O 1.69-1.78
Se (0.2128, 0.8614, 0.5031)  3 O 1.74-1.75
Se (0.7912, 0.3383, 0.7868)  3 O 1.69-1.78
Se (0.7872, 0.1386, 0.4969)  3 O 1.74-1.75
Se (0.6639, 0.3687, 0.1396)  3 O 1.70-1.78
Se (0.3361, 0.6313, 0.8604)  3 O 1.70-1.78
Y (0.7943, 0.8170, 0.8316)  8 O 2.28-2.43
Y (0.7328, 0.6373, 0.5090)  8 O 2.30-2.43
Y (0.2057, 0.1830, 0.1684)  8 O 2.28-2.43
Y (0.2672, 0.3627, 0.4910)  8 O 2.30-2.43
Mo (0.7229, 0.8931, 0.2072)  3 O 1.74-1.77
Mo (0.2771, 0.1069, 0.7929)  3 O 1.74-1.77

Computed properties:
space group	No. 2
crystal system	triclinic
E_form (uncorrected)	-188.1	kJ/mol of atoms

[2]
The following is a GGA-PBEsol calculation of a relaxed structure of MnBeFe3, from Alexandria via LeMat-Bulk.

abc: 4.0746 4.0746 4.0746
angles: 90.00 90.00 90.00
Last column: nearest neighbours and their distance in Å.
Positions (direct):
Fe (0.0000, 0.5000, 0.0000)  2 Mn 2.04
Fe (0.5000, 0.0000, 0.0000)  2 Mn 2.04
Fe (0.0000, 0.0000, 0.5000)  2 Mn 2.04
Mn (0.0000, 0.0000, 0.0000)  6 Fe 2.04
Be (0.5000, 0.5000, 0.5000)  12 Fe 2.88

Computed properties:
space group	No. 221
E_form	1.374	eV/atom
crystal system	cubic

[3]
The following is a GGA-PBEsol calculation of a relaxed structure of ZrCu2Au, from Alexandria via LeMat-Bulk.

abc: 2.9149 4.1242 5.3016
angles: 90.00 105.96 90.00
Last column: nearest neighbours and their distance in Å.
Positions (direct):
Cu (0.0625, 0.5000, 0.1249)  2 Cu 2.40
Cu (0.1830, 0.0000, 0.3660)  2 Cu 2.40
Au (0.7910, 0.5000, 0.5820)  7 Cu 2.75-2.77, 2 Au 2.91, 4 Zr 2.99
Zr (0.4481, 0.0000, 0.8961)  7 Cu 2.70-2.80, 2 Zr 2.91, 4 Au 2.99

Computed properties:
space group	No. 38
polymorph energy (0 for the lowest one)	0.1509	eV per atom
E_form	-0.150	eV/atom
crystal system	orthorhombic

[4]
The following is a GGA-PBEsol calculation of a relaxed structure of BaSr2Ag, from Alexandria via LeMat-Bulk.

abc: 5.8515 5.8515 5.8515
angles: 60.00 60.00 60.00
Last column: nearest neighbours and their distance in Å.
Positions (direct):
Ba (0.5000, 0.5000, 0.5000)  8 Sr 3.58
Sr (0.7500, 0.7500, 0.7500)  4 Ba 3.58, 4 Ag 3.58
Sr (0.2500, 0.2500, 0.2500)  4 Ba 3.58, 4 Ag 3.58
Ag (0.0000, 0.0000, 0.0000)  8 Sr 3.58

Computed properties:
space group	No. 225
polymorph energy (0 for the lowest one)	0.2094	eV per atom
E_form	0.107	eV/atom
crystal system	cubic

[5]
The following is a GGA-PBEsol calculation of a relaxed structure of TaMo, from Alexandria via LeMat-Bulk.

abc: 3.1871 4.5471 9.0056
angles: 90.00 90.00 90.00
Last column: nearest neighbours and their distance in Å.
Positions (direct):
Ta (0.5000, 0.0000, 0.5000)  4 Ta 2.78, 4 Mo 2.80
Ta (0.0000, 0.5000, 0.5000)  8 Ta 2.78-2.82
Ta (0.5000, 0.5000, 0.2421)  6 Mo 2.70-2.78, 2 Ta 2.82
Ta (0.5000, 0.5000, 0.7579)  6 Mo 2.70-2.78, 2 Ta 2.82
Mo (0.0000, 0.5000, 0.0000)  4 Ta 2.70, 4 Mo 2.78
Mo (0.0000, 0.0000, 0.2437)  2 Mo 2.71, 6 Ta 2.78-2.80
Mo (0.0000, 0.0000, 0.7563)  2 Mo 2.71, 6 Ta 2.78-2.80
Mo (0.5000, 0.0000, 0.0000)  8 Mo 2.71-2.78

Computed properties:
space group	No. 47
E_form	-0.106	eV/atom
crystal system	orthorhombic

[6]
The following is a GGA-PBEsol calculation of a relaxed structure of VOF, from Alexandria via LeMat-Bulk.

abc: 3.2159 5.1324 7.0199
angles: 90.00 90.00 90.00
Last column: nearest neighbours and their distance in Å.
Positions (direct):
F (0.7500, 0.1214, 0.3889)  3 V 2.08-2.10
F (0.7500, 0.3786, 0.8889)  3 V 2.08-2.10
F (0.2500, 0.6214, 0.1111)  3 V 2.08-2.10
F (0.2500, 0.8786, 0.6111)  3 V 2.08-2.10
O (0.7500, 0.8939, 0.8711)  4 V 1.98-2.05
O (0.2500, 0.3939, 0.6289)  4 V 1.98-2.05
O (0.2500, 0.1061, 0.1289)  4 V 1.98-2.05
O (0.7500, 0.6061, 0.3711)  4 V 1.98-2.05
V (0.2500, 0.3709, 0.3474)  4 O 1.98-2.05, 3 F 2.08-2.10
V (0.7500, 0.8709, 0.1526)  4 O 1.98-2.05, 3 F 2.08-2.10
V (0.2500, 0.1291, 0.8474)  4 O 1.98-2.05, 3 F 2.08-2.10
V (0.7500, 0.6291, 0.6526)  4 O 1.98-2.05, 3 F 2.08-2.10

Computed properties:
space group	No. 62
crystal system	orthorhombic
E_form (uncorrected)	-234.9	kJ/mol of atoms

[7]
The following is a GGA-PBEsol calculation of a relaxed structure of CoMoIr2, from Alexandria via LeMat-Bulk.

abc: 3.7176 3.7833 3.7833
angles: 90.00 90.00 90.00
Last column: nearest neighbours and their distance in Å.
Positions (direct):
Ir (0.0000, 0.5000, 0.0000)  4 Mo 2.65, 4 Co 2.65, 4 Ir 2.68
Ir (0.0000, 0.0000, 0.5000)  4 Mo 2.65, 4 Co 2.65, 4 Ir 2.68
Co (0.5000, 0.0000, 0.0000)  8 Ir 2.65, 4 Mo 2.68
Mo (0.5000, 0.5000, 0.5000)  8 Ir 2.65, 4 Co 2.68

Computed properties:
space group	No. 123
polymorph energy (0 for the lowest one)	0.0080	eV per atom
E_form	-0.187	eV/atom
crystal system	tetragonal

[8]
The following is a GGA-PBEsol calculation of a relaxed structure of RbHg3Br, from Alexandria via LeMat-Bulk.

abc: 6.4827 6.4827 6.4827
angles: 90.00 90.00 90.00
Last column: nearest neighbours and their distance in Å.
Positions (direct):
Br (0.5000, 0.5000, 0.5000)  12 Hg 4.58
Hg (0.0000, 0.0000, 0.5000)  2 Rb 3.24
Hg (0.5000, 0.0000, 0.0000)  2 Rb 3.24
Hg (0.0000, 0.5000, 0.0000)  2 Rb 3.24
Rb (0.0000, 0.0000, 0.0000)  6 Hg 3.24

Computed properties:
space group	No. 221
crystal system	cubic
E_form (uncorrected)	4.8	kJ/mol of atoms